CoHgRu2: optimized geometry, GGA-PBE. Values from VASP.

The structure in Quantum ESPRESSO input format:
```
&SYSTEM
  ibrav = 0, nat = 4, ntyp = 3
/
ATOMIC_SPECIES
Co 58.93 Co.upf
Hg 200.59 Hg.upf
Ru 101.07 Ru.upf
ATOMIC_POSITIONS crystal
Co 0.000 0.000 0.000
Hg 0.500 0.500 0.500
Ru 0.273 0.273 0.784
Ru 0.727 0.727 0.216
CELL_PARAMETERS angstrom
4.680 -1.393 0.000
4.680 1.393 0.000
-1.137 0.000 4.569
```

Summary:
**Formation energy from the elements**: 0.479 eV per atom
**Volume**: 14.90 Å³ per atom
**Total DFT energy (no corrections)**: -24.0 eV/f.u.
**Symmetry**: No. 12
**Fermi-level density of states**: 6.06 states/eV/cell